VASP calculation (PBE+U) on a relaxed Ac2MnCu2O6 crystal.

Cell: 5.8882 5.8882 15.1686 Å, 90.00 90.00 120.00°
Last column: nearest neighbours and their distance in Å.
Space group R-3m (No. 166, hexagonal axes)
One atom of each set of equivalent atoms:
Ac1 0.0000 0.0000 0.2205 [6 per cell]  3 O 2.53
Mn1 0.0000 0.0000 0.0000 [3 per cell]  6 O 1.99
Cu1 0.0000 0.0000 0.4182 [6 per cell]  3 O 1.90
O1 0.0385 0.5193 0.7528 [18 per cell]  1 Cu 1.90, 1 Mn 1.99

Values from the calculation:
- Total energy: -6.751 eV/atom
- Magnetic moment: 0.27 μB per atom
- Mass density: 8.01 g cm⁻³